PmPaNiO6 PBE+U relaxed; symmetry = P312 (149); raw total energy = -7.4575 eV/atom
1.0
5.459 0.000 0.000
-2.730 4.728 0.000
0.000 0.000 4.831
Pm Pa Ni O
1 1 1 6
Cartesian
0.000 0.000 0.000
2.730 1.576 2.416
0.000 3.152 0.000
-0.954 1.779 1.156
-1.666 3.012 3.675
0.954 1.779 3.675
-0.712 4.665 1.156
1.666 3.012 1.156
0.712 4.665 3.675